10
Lattice="4.399 0.000 0.000 0.000 4.399 0.000 0.000 0.000 9.108" Properties=species:S:1:pos:R:3 comment="Ta2AuS2 | Alexandria via LeMat-Bulk | PBE-GGA | relaxed" dft_energy_ev_per_fu=-36.73 e_above_lowest_polymorph_mev_per_atom=0 raw_formation_energy_ev_per_atom=-0.298 pbc="T T T"
Ta 0.000 2.199 2.277
Ta 0.000 2.199 6.831
Ta 2.199 0.000 2.277
Ta 2.199 0.000 6.831
Au 0.000 0.000 0.000
Au 2.199 2.199 4.554
S 0.000 0.000 3.303
S 0.000 0.000 5.805
S 2.199 2.199 1.251
S 2.199 2.199 7.857